## Li3FeP2O8 (PBE with a Hubbard U)

Data for a relaxed Li3FeP2O8 crystal. Values from VASP.

```
&SYSTEM
  ibrav = 0, nat = 28, ntyp = 4
/
ATOMIC_SPECIES
O 16.00 O.upf
Li 6.94 Li.upf
Fe 55.84 Fe.upf
P 30.97 P.upf
ATOMIC_POSITIONS angstrom
O 0.780 2.650 2.801
O 3.129 0.875 3.898
O 3.152 0.053 6.279
O -0.780 1.613 9.503
O 1.569 -0.162 10.600
O 0.719 0.480 7.839
O 1.245 2.876 8.484
O 1.546 -0.985 12.980
O 0.803 3.473 0.421
O 1.104 -0.387 4.917
O 1.630 2.009 5.562
O -0.803 2.436 7.123
O -1.245 3.913 1.782
O -0.719 1.517 1.137
O 3.068 0.972 12.264
O 3.594 -1.424 11.619
Li 2.490 0.168 8.829
Li 0.141 1.284 11.274
Li 2.208 1.205 2.127
Li -0.141 2.321 4.572
Li 4.488 -0.519 3.351
Li 0.210 -1.556 10.053
Fe 0.000 0.000 0.000
Fe 0.000 -1.037 6.702
P 0.079 1.845 8.241
P 2.428 -0.393 11.862
P 2.270 0.644 5.161
P -0.079 2.882 1.539
CELL_PARAMETERS angstrom
4.698 0.000 0.000
-2.349 4.563 -0.003
0.000 -2.074 13.404
```

Properties
Total moment: 9.9 μB per cell
Offset from the most stable computed form: 0.015 eV/atom
Calculated volume: 10.26 A^3/atom
Symmetry: C2/c
Electronic total energy: -6.605 eV per atom